[1]
The following is a GGA-PBEsol calculation of a relaxed structure of NaTa2TcAs, from Alexandria.

a b c (Å): 4.3911 4.6117 4.6117
angles (deg): 90.00 90.00 90.00
Closest atoms and distances in Å follow each position.
Fractional positions:
Na  0.0000  0.0000  0.0000  2 Tc 2.20, 4 Ta 2.31
Tc  0.5000  0.0000  0.0000  2 Na 2.20
Ta  0.0000  0.0000  0.5000  2 Na 2.31
Ta  0.0000  0.5000  0.0000  2 Na 2.31
As  0.5000  0.5000  0.5000  8 Ta 3.18, 4 Tc 3.26

Output
- energy of formation (eV per atom) = 2.41
- density of states at the Fermi level (states/eV/atom) = 0.6787
- total energy (eV/cell) = -30.81
- symmetry = P4/mmm, No. 123

[2]
The following is a GGA-PBEsol calculation of a relaxed structure of CoSb3, from Alexandria.

a b c (Å): 3.3270 3.3270 9.2425
angles (deg): 90.00 90.00 120.00
Closest atoms and distances in Å follow each position.
Fractional positions:
Sb  0.0000  0.0000  0.5000  12 Sb 3.33-3.50
Sb  0.3333  0.6667  0.1829  3 Co 2.56
Sb  0.3333  0.6667  0.8171  3 Co 2.56
Co  0.0000  0.0000  0.0000  6 Sb 2.56

Output
- uncorrected formation energy (eV/atom) = 0.17
- excess energy over the best structure of this formula in the dataset (meV/atom) = 404
- density of states at the Fermi level (states/eV/atom) = 0.8036
- total energy (eV/cell) = -20.71
- symmetry = P-6m2, No. 187

[3]
The following is a GGA-PBEsol calculation of a relaxed structure of LaNbSe2Br, from Alexandria.

a b c (Å): 5.0194 5.0194 4.9762
angles (deg): 90.00 90.00 90.00
Closest atoms and distances in Å follow each position.
Fractional positions:
Br  0.0000  0.0000  0.5000  2 Nb 2.49
Se  0.0000  0.5000  0.0000  2 Nb 2.51
Se  0.5000  0.0000  0.0000  2 Nb 2.51
La  0.5000  0.5000  0.5000  8 Se 3.53, 4 Br 3.55
Nb  0.0000  0.0000  0.0000  2 Br 2.49, 4 Se 2.51

Output
- uncorrected formation energy (eV/atom) = -0.81
- density of states at the Fermi level (states/eV/atom) = 0.8578
- total energy (eV/cell) = -29.77
- symmetry = P4/mmm, No. 123

[4]
The following is a GGA-PBEsol calculation of a relaxed structure of MgCoP2I, from Alexandria.

a b c (Å): 5.1042 5.1042 5.1553
angles (deg): 90.00 90.00 90.00
Closest atoms and distances in Å follow each position.
Fractional positions:
P  0.0000  0.5000  0.0000  2 I 2.55
P  0.5000  0.0000  0.0000  2 I 2.55
Co  0.5000  0.5000  0.5000  4 Mg 3.61, 8 P 3.63
I  0.0000  0.0000  0.0000  4 P 2.55, 2 Mg 2.58
Mg  0.0000  0.0000  0.5000  2 I 2.58

Output
- uncorrected formation energy (eV/atom) = 1.76
- density of states at the Fermi level (states/eV/atom) = 1.3821
- total energy (eV/cell) = -13.98
- symmetry = P4/mmm, No. 123

[5]
The following is a GGA-PBEsol calculation of a relaxed structure of Si2Ge2Ru, from Alexandria.

a b c (Å): 3.2232 3.2232 7.9844
angles (deg): 101.64 101.64 90.00
Closest atoms and distances in Å follow each position.
Fractional positions:
Si  0.7500  0.2500  0.5000  4 Si 2.28
Si  0.2500  0.7500  0.5000  4 Si 2.28
Ge  0.5922  0.5922  0.1843  4 Ru 2.68, 1 Ge 2.82, 4 Si 2.90
Ge  0.4078  0.4078  0.8157  4 Ru 2.68, 1 Ge 2.82, 4 Si 2.90
Ru  0.0000  0.0000  0.0000  8 Ge 2.68

Output
- uncorrected formation energy (eV/atom) = 0.30
- density of states at the Fermi level (states/eV/atom) = 0.5220
- total energy (eV/cell) = -30.06
- symmetry = I4/mmm, No. 139

[6]
The following is a GGA-PBEsol calculation of a relaxed structure of Ti2Si6W, from Alexandria.

a b c (Å): 4.6639 4.6659 6.4765
angles (deg): 90.00 90.00 119.99
Closest atoms and distances in Å follow each position.
Fractional positions:
W  0.5000  0.0000  0.0000  10 Si 2.57-2.70
Si  0.6818  0.8382  0.6660  5 Si 2.52-2.78, 4 Ti 2.56-2.75, 1 W 2.57
Si  0.1657  0.3314  0.0000  5 Si 2.52-2.70, 2 Ti 2.54, 3 W 2.69-2.70
Si  0.3182  0.1618  0.6660  5 Si 2.52-2.78, 4 Ti 2.56-2.75, 1 W 2.57
Si  0.1564  0.8382  0.3340  5 Si 2.52-2.78, 4 Ti 2.56-2.75, 1 W 2.57
Si  0.8343  0.6686  0.0000  5 Si 2.52-2.70, 2 Ti 2.54, 3 W 2.69-2.70
Si  0.8436  0.1618  0.3340  5 Si 2.52-2.78, 4 Ti 2.56-2.75, 1 W 2.57
Ti  0.0000  0.5000  0.6675  10 Si 2.54-2.75
Ti  0.5000  0.5000  0.3325  10 Si 2.54-2.75

Output
- uncorrected formation energy (eV/atom) = -0.61
- density of states at the Fermi level (states/eV/atom) = 0.2619
- total energy (eV/cell) = -70.38
- symmetry = C222, No. 21

[7]
The following is a GGA-PBEsol calculation of a relaxed structure of Sc2PbBr, from Alexandria.

a b c (Å): 4.1524 4.1524 6.7841
angles (deg): 72.18 72.18 60.00
Closest atoms and distances in Å follow each position.
Fractional positions:
Sc  0.2509  0.2509  0.2474  3 Pb 2.87, 3 Br 2.88
Sc  0.7491  0.7491  0.7526  3 Pb 2.87, 3 Br 2.88
Br  0.5000  0.5000  0.5000  6 Sc 2.88
Pb  0.0000  0.0000  0.0000  6 Sc 2.87

Output
- uncorrected formation energy (eV/atom) = -0.63
- excess energy over the best structure of this formula in the dataset (meV/atom) = 0
- density of states at the Fermi level (states/eV/atom) = 0.5750
- total energy (eV/cell) = -21.60
- symmetry = R-3m, No. 166

[8]
The following is a GGA-PBEsol calculation of a relaxed structure of Nb6BiSe8, from Alexandria.

a b c (Å): 3.4344 9.9624 9.9624
angles (deg): 120.00 90.00 90.00
Closest atoms and distances in Å follow each position.
Fractional positions:
Se  0.2500  0.7238  0.0587  4 Nb 2.58-2.75
Se  0.7500  0.0587  0.3350  4 Nb 2.58-2.75
Se  0.2499  0.3333  0.6667  6 Nb 2.67
Se  0.7501  0.6667  0.3333  6 Nb 2.67
Se  0.7500  0.6650  0.7238  4 Nb 2.58-2.75
Se  0.2500  0.3350  0.2762  4 Nb 2.58-2.75
Se  0.7500  0.2762  0.9413  4 Nb 2.58-2.75
Se  0.2500  0.9413  0.6650  4 Nb 2.58-2.75
Nb  0.7494  0.5127  0.8903  6 Se 2.58-2.75, 1 Nb 2.89
Nb  0.2506  0.6224  0.5127  6 Se 2.58-2.75, 1 Nb 2.89
Nb  0.2506  0.8903  0.3776  6 Se 2.58-2.75, 1 Nb 2.89
Nb  0.2506  0.4873  0.1097  6 Se 2.58-2.75, 1 Nb 2.89
Nb  0.7494  0.1097  0.6224  6 Se 2.58-2.75, 1 Nb 2.89
Nb  0.7494  0.3776  0.4873  6 Se 2.58-2.75, 1 Nb 2.89
Bi  0.5000  0.0000  0.0000  6 Se 3.20, 2 Bi 3.43

Output
- uncorrected formation energy (eV/atom) = -0.79
- density of states at the Fermi level (states/eV/atom) = 0.4824
- total energy (eV/cell) = -111.83
- symmetry = P-3, No. 147

[9]
The following is a GGA-PBEsol calculation of a relaxed structure of As4P, from Alexandria.

a b c (Å): 5.0947 5.0947 5.0947
angles (deg): 109.47 109.47 109.47
Closest atoms and distances in Å follow each position.
Fractional positions:
As  0.0000  0.5000  0.0000  2 P 2.55
As  0.5000  0.5000  0.5000  2 P 2.55
As  0.0000  0.0000  0.5000  2 P 2.55
As  0.5000  0.0000  0.0000  2 P 2.55
P  0.0000  0.0000  0.0000  8 As 2.55

Output
- energy of formation (eV per atom) = 0.48
- density of states at the Fermi level (states/eV/atom) = 0.8078
- total energy (eV/cell) = -23.84
- symmetry = Im-3m, No. 229

[10]
The following is a GGA-PBEsol calculation of a relaxed structure of MgScZnP2, from Alexandria.

a b c (Å): 4.6245 4.6245 4.8263
angles (deg): 90.00 90.00 90.00
Closest atoms and distances in Å follow each position.
Fractional positions:
Zn  0.0000  0.0000  0.0000  4 P 2.31, 2 Sc 2.41
Mg  0.5000  0.5000  0.5000  4 Sc 3.27, 8 P 3.34
Sc  0.0000  0.0000  0.5000  2 Zn 2.41
P  0.5000  0.0000  0.0000  2 Zn 2.31
P  0.0000  0.5000  0.0000  2 Zn 2.31

Output
- energy of formation (eV per atom) = 0.42
- density of states at the Fermi level (states/eV/atom) = 0.6049
- total energy (eV/cell) = -19.40
- symmetry = P4/mmm, No. 123

Copy entry 10 word for word.
The following is a GGA-PBEsol calculation of a relaxed structure of MgScZnP2, from Alexandria.

a b c (Å): 4.6245 4.6245 4.8263
angles (deg): 90.00 90.00 90.00
Closest atoms and distances in Å follow each position.
Fractional positions:
Zn  0.0000  0.0000  0.0000  4 P 2.31, 2 Sc 2.41
Mg  0.5000  0.5000  0.5000  4 Sc 3.27, 8 P 3.34
Sc  0.0000  0.0000  0.5000  2 Zn 2.41
P  0.5000  0.0000  0.0000  2 Zn 2.31
P  0.0000  0.5000  0.0000  2 Zn 2.31

Output
- energy of formation (eV per atom) = 0.42
- density of states at the Fermi level (states/eV/atom) = 0.6049
- total energy (eV/cell) = -19.40
- symmetry = P4/mmm, No. 123

Question: Among the records above, which one has the lowest total energy?
Answer: Nb6BiSe8